{
  "formula": "CsAgSnTe3",
  "functional": "PBE",
  "state": "optimized geometry",
  "vol_a3_per_cell": 850.8,
  "spacegroup": "Pnma",
  "dft_energy_ev_per_atom": -3.1934,
  "cell": [[-3.1348, 7.8239, 6.1732], [-3.4255, 1.1469, -3.1931], [-10.7516, -10.4476, 7.7815]],
  "species": ["Ag", "Ag", "Ag", "Ag", "Cs", "Cs", "Cs", "Cs", "Sn", "Sn", "Sn", "Sn", "Te", "Te", "Te", "Te", "Te", "Te", "Te", "Te", "Te", "Te", "Te", "Te"],
  "frac_coords": [[0.6128, 0.7500, 0.1576], [0.1128, 0.7500, 0.3424], [0.8872, 0.2500, 0.6576], [0.3872, 0.2500, 0.8424], [0.9703, 0.2500, 0.1868], [0.4703, 0.2500, 0.3132], [0.5297, 0.7500, 0.6868], [0.0297, 0.7500, 0.8132], [0.2646, 0.7500, 0.0316], [0.7646, 0.7500, 0.4684], [0.2354, 0.2500, 0.5316], [0.7354, 0.2500, 0.9684], [0.8782, 0.7500, 0.0127], [0.5409, 0.2500, 0.0870], [0.2719, 0.7500, 0.1978], [0.7719, 0.7500, 0.3022], [0.0409, 0.2500, 0.4130], [0.3782, 0.7500, 0.4873], [0.6218, 0.2500, 0.5127], [0.9591, 0.7500, 0.5870], [0.2281, 0.2500, 0.6978], [0.7281, 0.2500, 0.8022], [0.4591, 0.7500, 0.9130], [0.1218, 0.2500, 0.9873]]
}